PrTl2WO8 | PBE+U | optimized geometry

crystal system: monoclinic
size of the total moment: 1.1 Bohr magnetons per cell
E_tot: -6.234 eV per atom

```
data_PrTl2WO8
_cell_length_a 5.078
_cell_length_b 6.980
_cell_length_c 5.083
_cell_angle_alpha 90.00
_cell_angle_beta 90.49
_cell_angle_gamma 90.00
_symmetry_space_group_name_H-M 'P 1 2/m 1'
_symmetry_Int_Tables_number 10
_symmetry_space_group_name_Hall '-P 2y'
loop_
_atom_site_label
_atom_site_type_symbol
_atom_site_fract_x
_atom_site_fract_y
_atom_site_fract_z
_atom_site_occupancy
Pr1 Pr 0.000 0.000 0.000 1
Tl1 Tl 0.500 0.261 0.500 1
W1 W 0.000 0.500 0.000 1
O1 O 0.182 0.295 0.820 1
O2 O 0.278 0.500 0.280 1
O3 O 0.316 0.000 0.319 1
```